Entry from Alexandria: a geometry-optimized TlBr3 structure (GGA-PBE).

abc: 18.0022 18.0022 18.0022
angles: 166.80 166.80 18.71
Atoms (fractional coordinates):
Br 0.2500 0.7500 0.5000
Br 0.5000 0.0000 0.5000
Br 0.0000 0.5000 0.5000
Br 0.1184 0.1184 0.0000
Br 0.7500 0.2500 0.5000
Br 0.8816 0.8816 0.0000
Tl 0.3466 0.3466 0.0000
Tl 0.6534 0.6534 0.0000

## Properties
- space-group type = I4/mmm
- raw total energy (eV for the cell shown) = -16.8
- N(E_F) (states/eV per cell) = 8.2
- E_form (uncorrected) (meV/atom) = -254
- total magnetization (Bohr magnetons per cell) = 0.0